1.
Below is LuBeZn after structural relaxation, with properties calculated at the PBE level.

a = 4.269 Å, b = 4.269 Å, c = 4.269 Å
α = 60.00°, β = 60.00°, γ = 60.00°
Fractional coordinates of all 3 atoms:
1 Lu 0.250 0.250 0.250
2 Be 0.000 0.000 0.000
3 Zn 0.750 0.750 0.750

Computed properties:
The calculation puts the energy relative to the lowest polymorph listed for this composition at 0 meV per atom. Its space group is F-43m.

***

2.
Below is LuBeZn2 after structural relaxation, with properties calculated at the PBE level.

a = 4.466 Å, b = 4.466 Å, c = 4.466 Å
α = 60.00°, β = 60.00°, γ = 60.00°
Fractional coordinates of all 4 atoms:
1 Be 0.500 0.500 0.500
2 Lu 0.250 0.250 0.250
3 Zn 0.750 0.750 0.750
4 Zn 0.000 0.000 0.000

Computed properties:
As for the uncorrected energy: -2.79 eV per atom. Its space group is F-43m.

***

3.
Below is LuBeZn after structural relaxation, with properties calculated at the PBE level.

a = 4.508 Å, b = 4.508 Å, c = 4.508 Å
α = 60.00°, β = 60.00°, γ = 60.00°
Fractional coordinates of all 3 atoms:
1 Lu 0.000 0.000 0.000
2 Be 0.250 0.250 0.250
3 Zn 0.750 0.750 0.750

Computed properties:
The calculation puts the energy relative to the lowest polymorph listed for this composition at 574 meV per atom. Its space group is F-43m.

***

4.
Below is Mg2BeMo after structural relaxation, with properties calculated at the PBE level.

a = 4.475 Å, b = 4.475 Å, c = 4.475 Å
α = 60.00°, β = 60.00°, γ = 60.00°
Last column: magnetic moment on the atom in μB.
Fractional coordinates of all 4 atoms:
1 Be 0.500 0.500 0.500  -0.05
2 Mo 0.250 0.250 0.250  1.62
3 Mg 0.000 0.000 0.000  0.00
4 Mg 0.750 0.750 0.750  -0.01

Computed properties:
As for the uncorrected energy: -3.91 eV per atom. Its space group is F-43m.